Entry from Alexandria: a geometry-optimized NdBi2TeO4 structure (PBE-GGA).

```
8
Lattice="3.9539 0.0000 0.0000 0.0000 3.9539 0.0000 0.0000 0.0000 10.2298" Properties=species:S:1:pos:R:3 pbc="T T T"
Nd 0.0000 0.0000 0.0000
Bi 1.9770 1.9770 2.5777
Bi 1.9770 1.9770 7.6521
Te 0.0000 0.0000 5.1149
O 0.0000 1.9770 1.4754
O 1.9770 0.0000 8.7544
O 1.9770 0.0000 1.4754
O 0.0000 1.9770 8.7544
```

Summary:
Space-group type: P4/mmm (123)
E_form (uncorrected) in kcal/mol of atoms: -39.75
Volume in A^3/atom: 19.99